Entry 1:
Computed, not measured: crystalline In2Ni2S at its relaxed geometry at the PBE level of DFT.

Results
- E_tot: -42.38 eV for the cell shown
- Formation energy (no corrections): -0.004 eV per atom
- Symmetry: No. 127

a b c (Å): 6.5773 6.5773 3.8425
angles (deg): 90.00 90.00 90.00
Closest atoms and distances in Å follow each position.
Positions (direct):
Ni 0.8541 0.6459 0.0000  2 S 2.52, 6 In 2.64-2.78, 1 Ni 2.71
Ni 0.6459 0.1459 0.0000  2 S 2.52, 6 In 2.64-2.78, 1 Ni 2.71
Ni 0.3541 0.8541 0.0000  2 S 2.52, 6 In 2.64-2.78, 1 Ni 2.71
Ni 0.1459 0.3541 0.0000  2 S 2.52, 6 In 2.64-2.78, 1 Ni 2.71
S 0.0000 0.0000 0.0000  4 Ni 2.52
S 0.5000 0.5000 0.0000  4 Ni 2.52
In 0.1601 0.6601 0.5000  6 Ni 2.64-2.78
In 0.6601 0.8399 0.5000  6 Ni 2.64-2.78
In 0.3399 0.1601 0.5000  6 Ni 2.64-2.78
In 0.8399 0.3399 0.5000  6 Ni 2.64-2.78

=====

Entry 2:
Computed, not measured: crystalline K3Y2TlO6 at its relaxed geometry at the PBE level of DFT.

Results
- E_tot: -74.24 eV for the cell shown
- Formation energy (no corrections): -2.158 eV per atom
- Symmetry: No. 12

a b c (Å): 6.0373 6.0373 6.5910
angles (deg): 98.76 98.76 119.98
Closest atoms and distances in Å follow each position.
Positions (direct):
O 0.2779 0.2779 0.8081  2 Y 2.33, 1 Tl 2.39
O 0.7221 0.7221 0.1919  2 Y 2.33, 1 Tl 2.39
O 0.5941 0.9359 0.8076  2 Y 2.32-2.33, 1 Tl 2.39
O 0.0641 0.4059 0.1924  2 Y 2.32-2.33, 1 Tl 2.39
O 0.9359 0.5941 0.8076  2 Y 2.32-2.33, 1 Tl 2.39
O 0.4059 0.0641 0.1924  2 Y 2.32-2.33, 1 Tl 2.39
Y 0.6669 0.3331 0.0000  6 O 2.32-2.33
Y 0.3331 0.6669 0.0000  6 O 2.32-2.33
K 0.5000 0.5000 0.5000  6 O 2.75-2.81
K 0.8369 0.1631 0.5000  6 O 2.78-2.81
K 0.1631 0.8369 0.5000  6 O 2.78-2.81
Tl 0.0000 0.0000 0.0000  6 O 2.39

=====

Entry 3:
Computed, not measured: crystalline Sc3BSe at its relaxed geometry at the PBE level of DFT.

Results
- E_tot: -31.84 eV for the cell shown
- Relative energy among the computed polymorphs: 5.00 kcal/mol of atoms
- Formation energy (no corrections): -0.537 eV per atom
- Symmetry: No. 221

a b c (Å): 4.6007 4.6007 4.6007
angles (deg): 90.00 90.00 90.00
Closest atoms and distances in Å follow each position.
Positions (direct):
B 0.0000 0.0000 0.0000  6 Sc 2.30
Se 0.5000 0.5000 0.5000  12 Sc 3.25
Sc 0.0000 0.5000 0.0000  2 B 2.30
Sc 0.5000 0.0000 0.0000  2 B 2.30
Sc 0.0000 0.0000 0.5000  2 B 2.30